MgScOF2 PBE-GGA relaxed; E above lowest polymorph = 0.0 meV per atom; theoretical density = 2857 kg/m3; formation energy (no corrections) = -2.703 eV per atom; symmetry = No. 123; calculated total energy = -6.03 eV per atom
1.0
4.209 0.000 0.000
0.000 4.209 0.000
0.000 0.000 4.043
Mg Sc O F
1 1 1 2
Direct
0.000 0.000 0.000 Mg
0.500 0.500 0.500 Sc
0.500 0.500 0.000 O
0.000 0.500 0.500 F
0.500 0.000 0.500 F